1.
DFT (PBE) results for LiMgP2Pt after structural relaxation.

D(E_F)	0.37	states/eV/atom
crystal system	tetragonal
formation energy	0.46	eV/atom
space-group type	No. 123

```
LiMgP2Pt
1.0
4.280 0.000 0.000
0.000 4.368 0.000
0.000 0.000 4.280
P Mg Pt Li
2 1 1 1
Direct
0.000 0.000 0.500
0.500 0.000 0.000
0.000 0.500 0.000
0.500 0.500 0.500
0.000 0.000 0.000
```

***

2.
DFT (PBE) results for Ta2HN after structural relaxation.

D(E_F)	0.52	states/eV/atom
crystal system	trigonal
space-group type	No. 160
calculated total energy	-36.5	eV per cell

```
Ta2HN
1.0
-0.616 -1.856 2.294
-0.495 -2.928 -0.520
5.064 -2.624 1.217
Ta H N
2 1 1
Direct
0.084 0.084 0.749
0.255 0.255 0.236
0.491 0.491 0.526
0.670 0.670 0.989
```

***

3.
DFT (PBE) results for Na4Tm3VS8 after structural relaxation.

uncorrected formation energy	-155.5	kJ per mole of atoms
D(E_F)	0.51	states/eV/atom
crystal system	trigonal
space-group type	No. 166

```
Na4Tm3VS8
1.0
7.688 0.000 0.000
0.000 8.002 0.211
-3.844 -3.839 5.440
Na Tm V S
4 3 1 8
Direct
0.500 0.000 0.000
0.500 0.000 0.500
0.000 0.000 0.000
0.000 0.000 0.500
0.500 0.500 0.000
0.500 0.500 0.500
0.000 0.500 0.500
0.000 0.500 0.000
0.230 0.717 0.987
0.230 0.717 0.460
0.257 0.273 0.515
0.757 0.717 0.987
0.243 0.283 0.013
0.743 0.727 0.485
0.770 0.283 0.540
0.770 0.283 0.013
```

***

4.
DFT (PBE) results for BeIn2BPt after structural relaxation.

D(E_F)	0.55	states/eV/atom
crystal system	tetragonal
formation energy	0.32	eV/atom
space-group type	No. 123

```
BeIn2BPt
1.0
4.798 0.000 0.000
0.000 3.585 0.000
0.000 0.000 4.798
Be B Pt In
1 1 1 2
Direct
0.000 0.500 0.000
0.000 0.000 0.000
0.500 0.500 0.500
0.000 0.000 0.500
0.500 0.000 0.000
```

***

> Which formula does entry 2 have?

Ta2HN